VASP calculation (PBE) on a relaxed structure of LaCuSbIr.

Output
Excess energy over the best structure of this formula in the dataset, meV per atom: 120

Cell: 4.8583 4.8583 4.8583 Å, 60.00 60.00 60.00°
Last column: nearest neighbours and their distance in Å.
Sites, in units of the cell vectors:
La 0.5000 0.5000 0.5000  4 Sb 2.98, 4 Cu 2.98
Sb 0.2500 0.2500 0.2500  4 La 2.98, 4 Ir 2.98
Cu 0.7500 0.7500 0.7500  4 Ir 2.98, 4 La 2.98
Ir 0.0000 0.0000 0.0000  4 Cu 2.98, 4 Sb 2.98



VASP calculation (PBE) on a relaxed structure of LiZrCuS3.

Output
Excess energy over the best structure of this formula in the dataset, meV per atom: 7

Cell: 9.7453 3.6449 12.1429 Å, 90.00 90.00 90.00°
Last column: nearest neighbours and their distance in Å.
Sites, in units of the cell vectors:
S 0.5814 0.2500 0.1072  1 Cu 2.27
S 0.7633 0.7500 0.3422  2 Cu 2.32
S 0.4499 0.2500 0.3883  1 Cu 2.27
S 0.5501 0.7500 0.6117  1 Cu 2.27
S 0.0501 0.7500 0.8883  1 Cu 2.27
S 0.2633 0.7500 0.1578  2 Cu 2.32
S 0.4186 0.7500 0.8928  1 Cu 2.27
S 0.0814 0.2500 0.3928  1 Cu 2.27
S 0.7367 0.2500 0.8422  2 Cu 2.32
S 0.9186 0.7500 0.6072  1 Cu 2.27
S 0.9499 0.2500 0.1117  1 Cu 2.27
S 0.2367 0.2500 0.6578  2 Cu 2.32
Li 0.2104 0.2500 0.9971  7 S 2.72-3.01
Li 0.7104 0.2500 0.5029  7 S 2.72-3.01
Li 0.2896 0.7500 0.4971  7 S 2.72-3.01
Li 0.7896 0.7500 0.0029  7 S 2.72-3.01
Zr 0.9833 0.2500 0.7450  6 S 2.55-2.69
Zr 0.5167 0.7500 0.2450  6 S 2.55-2.69
Zr 0.4833 0.2500 0.7550  6 S 2.55-2.69
Zr 0.0167 0.7500 0.2550  6 S 2.55-2.69
Cu 0.2365 0.7500 0.7764  4 S 2.27-2.32
Cu 0.7635 0.2500 0.2236  4 S 2.27-2.32
Cu 0.7365 0.7500 0.7236  4 S 2.27-2.32
Cu 0.2635 0.2500 0.2764  4 S 2.27-2.32



VASP calculation (PBE) on a relaxed structure of CuAgBAu.

Output
Excess energy over the best structure of this formula in the dataset, meV per atom: 0

Cell: 4.3087 4.3087 4.3087 Å, 60.00 60.00 60.00°
Last column: nearest neighbours and their distance in Å.
Sites, in units of the cell vectors:
Ag 0.5000 0.5000 0.5000  4 Cu 2.64, 4 Au 2.64
Cu 0.7500 0.7500 0.7500  4 Ag 2.64, 4 B 2.64
Au 0.2500 0.2500 0.2500  4 Ag 2.64, 4 B 2.64
B 0.0000 0.0000 0.0000  4 Cu 2.64, 4 Au 2.64



VASP calculation (PBE) on a relaxed structure of NaTbCdSe3.

Output
Excess energy over the best structure of this formula in the dataset, meV per atom: 12

Cell: 13.9319 4.1897 11.3470 Å, 90.00 90.00 90.00°
Last column: nearest neighbours and their distance in Å.
Sites, in units of the cell vectors:
Se 0.3505 0.2500 0.7599  1 Cd 2.62, 2 Tb 2.91
Se 0.6046 0.7500 0.6214  3 Cd 2.68-2.81
Se 0.3959 0.7500 0.0749  3 Tb 2.82-2.88, 2 Na 2.98
Se 0.8959 0.7500 0.4251  3 Tb 2.82-2.88, 2 Na 2.98
Se 0.6041 0.2500 0.9251  3 Tb 2.82-2.88, 2 Na 2.98
Se 0.1046 0.7500 0.8786  3 Cd 2.68-2.81
Se 0.3954 0.2500 0.3786  3 Cd 2.68-2.81
Se 0.1495 0.7500 0.2599  1 Cd 2.62, 2 Tb 2.91
Se 0.1041 0.2500 0.5749  3 Tb 2.82-2.88, 2 Na 2.98
Se 0.8505 0.2500 0.7401  1 Cd 2.62, 2 Tb 2.91
Se 0.8954 0.2500 0.1214  3 Cd 2.68-2.81
Se 0.6495 0.7500 0.2401  1 Cd 2.62, 2 Tb 2.91
Cd 0.4859 0.2500 0.5996  4 Se 2.62-2.81
Cd 0.0141 0.7500 0.0996  4 Se 2.62-2.81
Cd 0.9859 0.2500 0.9004  4 Se 2.62-2.81
Cd 0.5141 0.7500 0.4004  4 Se 2.62-2.81
Tb 0.9769 0.7500 0.6529  6 Se 2.82-3.12
Tb 0.5231 0.2500 0.1529  6 Se 2.82-3.12
Tb 0.0231 0.2500 0.3471  6 Se 2.82-3.12
Tb 0.4769 0.7500 0.8471  6 Se 2.82-3.12
Na 0.2555 0.7500 0.5928  4 Se 2.98-3.12
Na 0.7445 0.2500 0.4072  4 Se 2.98-3.12
Na 0.2445 0.2500 0.0928  4 Se 2.98-3.12
Na 0.7555 0.7500 0.9072  4 Se 2.98-3.12



VASP calculation (PBE) on a relaxed structure of AlReO6.

Cell: 5.0629 5.0629 5.0629 Å, 60.00 60.00 60.00°
Last column: nearest neighbours and their distance in Å.
Sites, in units of the cell vectors:
O 0.5110 0.9890 0.5110  1 Re 1.87
O 0.9890 0.5110 0.5110  1 Re 1.87
O 0.5110 0.5110 0.9890  1 Re 1.87
O 0.9890 0.9890 0.5110  1 Re 1.87
O 0.5110 0.9890 0.9890  1 Re 1.87
O 0.9890 0.5110 0.9890  1 Re 1.87
Al 0.0000 0.0000 0.0000  12 O 2.53
Re 0.2500 0.2500 0.2500  6 O 1.87



VASP calculation (PBE) on a relaxed structure of GdOs2O4.

Cell: 6.3670 6.3670 6.3670 Å, 119.98 90.04 119.98°
Last column: nearest neighbours and their distance in Å.
Sites, in units of the cell vectors:
Os 0.3750 0.2500 0.6250  6 O 2.10-2.11
Os 0.3750 0.7500 0.6250  6 O 2.10-2.11
Os 0.3750 0.7500 0.1250  6 O 2.10-2.11
Os 0.8750 0.2500 0.6250  6 O 2.10-2.11
O 0.1777 0.7852 0.3925  3 Os 2.10-2.11, 1 Gd 2.22
O 0.1427 0.2852 0.8575  3 Os 2.10-2.11, 1 Gd 2.22
O 0.1425 0.7148 0.8573  3 Os 2.10-2.11, 1 Gd 2.22
O 0.6075 0.2148 0.8223  3 Os 2.10-2.11, 1 Gd 2.22
O 0.6075 0.7852 0.3927  3 Os 2.10-2.11, 1 Gd 2.22
O 0.1425 0.2852 0.4277  3 Os 2.10-2.11, 1 Gd 2.22
O 0.6073 0.2148 0.3925  3 Os 2.10-2.11, 1 Gd 2.22
O 0.5723 0.7148 0.8575  3 Os 2.10-2.11, 1 Gd 2.22
Gd 0.0000 0.0000 0.0000  4 O 2.22
Gd 0.7500 0.5000 0.2500  4 O 2.22



The records above yield calculated total energy values of -5.60, -5.58, -3.31, -4.13, -6.15, -7.70 eV/atom, respectively.